Below is PuMnZn2O6 after structural relaxation, with properties calculated at the PBE with a Hubbard U level. Values from VASP.

Cell and atoms, written as Quantum ESPRESSO input:
```
&SYSTEM
  ibrav = 0, nat = 20, ntyp = 4
/
ATOMIC_SPECIES
Mn 54.94 Mn.upf
O 16.00 O.upf
Zn 65.41 Zn.upf
Pu 244.00 Pu.upf
CELL_PARAMETERS angstrom
5.512 -0.311 -0.323
1.309 6.817 0.197
1.309 -0.056 6.819
ATOMIC_POSITIONS crystal
Mn 0.750 0.088 0.912
Mn 0.250 0.912 0.088
O 0.866 0.719 0.547
O 0.121 0.982 0.800
O 0.596 0.151 0.638
O 0.621 0.800 0.982
O 0.634 0.453 0.281
O 0.379 0.200 0.018
O 0.904 0.362 0.849
O 0.366 0.547 0.719
O 0.879 0.018 0.200
O 0.096 0.638 0.151
O 0.404 0.849 0.362
O 0.134 0.281 0.453
Zn 0.812 0.221 0.397
Zn 0.688 0.603 0.779
Zn 0.312 0.397 0.221
Zn 0.188 0.779 0.603
Pu 0.250 0.268 0.732
Pu 0.750 0.732 0.268
```

**Calculated total energy**: -0.26868 hartree per atom